# 1
## NbPO5 (PBE)

Data for a relaxed NbPO5 crystal.

Structure (POSCAR):
```
NbPO5
1.0
-0.8494 0.2275 5.3597
-8.9549 -9.8232 -1.0021
12.7739 -3.1812 2.1594
P Nb O
8 8 40
Direct
0.7563 0.0630 0.9093
0.2536 0.4092 0.0631
0.7437 0.5630 0.4093
0.7464 0.5908 0.9369
0.2563 0.4370 0.5907
0.7536 0.0908 0.4369
0.2464 0.9092 0.5631
0.2437 0.9370 0.0907
0.2508 0.1971 0.6339
0.7508 0.3029 0.8661
0.7525 0.6340 0.6970
0.7475 0.1340 0.1970
0.2492 0.6971 0.1339
0.2525 0.8660 0.8030
0.7492 0.8029 0.3661
0.2475 0.3660 0.3030
0.5102 0.7455 0.2447
0.0102 0.7545 0.2553
0.7564 0.6569 0.3728
0.2606 0.0411 0.6223
0.9999 0.0016 0.1328
0.2564 0.8431 0.1272
0.0344 0.5166 0.6416
0.2490 0.3730 0.1572
0.0001 0.9984 0.8672
0.9705 0.6430 0.0146
0.2436 0.3431 0.6272
0.0295 0.3570 0.9854
0.5128 0.2570 0.2537
0.4955 0.3681 0.9965
0.5344 0.9834 0.8584
0.4656 0.0166 0.1416
0.7510 0.6270 0.8428
0.4999 0.4984 0.3672
0.5045 0.6319 0.0035
0.7606 0.4589 0.8777
0.4872 0.7430 0.7463
0.5295 0.1430 0.5146
0.9656 0.4834 0.3584
0.7436 0.1569 0.8728
0.9872 0.7570 0.7537
0.0128 0.2430 0.2463
0.4705 0.8570 0.4854
0.2510 0.8730 0.6572
0.7490 0.1270 0.3428
0.9898 0.2455 0.7447
0.2552 0.8775 0.9588
0.7448 0.1225 0.0412
0.7394 0.9589 0.3777
0.5001 0.5016 0.6328
0.9955 0.1319 0.5035
0.4898 0.2545 0.7553
0.2448 0.3775 0.4588
0.0045 0.8681 0.4965
0.7552 0.6225 0.5412
0.2394 0.5411 0.1223
```

Properties
Raw formation energy   -1644.8 kJ/mol of formula units
E above lowest polymorph   0 meV/atom
Volume   15.1 A^3/atom

# 2
## NbP2O (PBE)

Data for a relaxed NbP2O crystal.

Structure (POSCAR):
```
NbP2O
1.0
-1.6693 -3.4241 4.3854
-4.1916 -2.2369 -3.3421
-0.8187 -5.2113 -0.5334
P Nb O
4 2 2
Direct
0.8750 0.7993 0.7500
0.3750 0.4507 0.7500
0.2007 0.6250 0.2500
0.5493 0.1250 0.2500
0.0000 0.0000 0.0000
0.7500 0.2500 0.5000
0.5000 0.5000 0.0000
0.2500 0.7500 0.5000
```

Properties
Raw formation energy   10.7 kJ/mol of formula units
Volume   14.1 A^3/atom

Copy entry 1 word for word.
## NbPO5 (PBE)

Data for a relaxed NbPO5 crystal.

Structure (POSCAR):
```
NbPO5
1.0
-0.8494 0.2275 5.3597
-8.9549 -9.8232 -1.0021
12.7739 -3.1812 2.1594
P Nb O
8 8 40
Direct
0.7563 0.0630 0.9093
0.2536 0.4092 0.0631
0.7437 0.5630 0.4093
0.7464 0.5908 0.9369
0.2563 0.4370 0.5907
0.7536 0.0908 0.4369
0.2464 0.9092 0.5631
0.2437 0.9370 0.0907
0.2508 0.1971 0.6339
0.7508 0.3029 0.8661
0.7525 0.6340 0.6970
0.7475 0.1340 0.1970
0.2492 0.6971 0.1339
0.2525 0.8660 0.8030
0.7492 0.8029 0.3661
0.2475 0.3660 0.3030
0.5102 0.7455 0.2447
0.0102 0.7545 0.2553
0.7564 0.6569 0.3728
0.2606 0.0411 0.6223
0.9999 0.0016 0.1328
0.2564 0.8431 0.1272
0.0344 0.5166 0.6416
0.2490 0.3730 0.1572
0.0001 0.9984 0.8672
0.9705 0.6430 0.0146
0.2436 0.3431 0.6272
0.0295 0.3570 0.9854
0.5128 0.2570 0.2537
0.4955 0.3681 0.9965
0.5344 0.9834 0.8584
0.4656 0.0166 0.1416
0.7510 0.6270 0.8428
0.4999 0.4984 0.3672
0.5045 0.6319 0.0035
0.7606 0.4589 0.8777
0.4872 0.7430 0.7463
0.5295 0.1430 0.5146
0.9656 0.4834 0.3584
0.7436 0.1569 0.8728
0.9872 0.7570 0.7537
0.0128 0.2430 0.2463
0.4705 0.8570 0.4854
0.2510 0.8730 0.6572
0.7490 0.1270 0.3428
0.9898 0.2455 0.7447
0.2552 0.8775 0.9588
0.7448 0.1225 0.0412
0.7394 0.9589 0.3777
0.5001 0.5016 0.6328
0.9955 0.1319 0.5035
0.4898 0.2545 0.7553
0.2448 0.3775 0.4588
0.0045 0.8681 0.4965
0.7552 0.6225 0.5412
0.2394 0.5411 0.1223
```

Properties
Raw formation energy   -1644.8 kJ/mol of formula units
E above lowest polymorph   0 meV/atom
Volume   15.1 A^3/atom